## P
YSi3Ge, relaxed, DFT PBE-GGA; calculated volume = 29.024 Å³/atom; calculated density = 2.8 g/cm³
1.0
5.255 0.000 0.000
0.000 5.255 0.000
0.000 0.000 5.255
Y Si Ge
1 3 1
Direct
0.000 0.000 0.000
0.000 0.000 0.500
0.000 0.500 0.000
0.500 0.000 0.000
0.500 0.500 0.500

=====

## Q
YSi3Ge, relaxed, DFT PBE-GGA; calculated volume = 21.991 Å³/atom; calculated density = 3.7 g/cm³
1.0
4.791 0.000 0.000
0.000 4.791 0.000
0.000 0.000 4.791
Y Si Ge
1 3 1
Direct
0.000 0.000 0.000
0.000 0.500 0.500
0.500 0.000 0.500
0.500 0.500 0.000
0.500 0.500 0.500

=====

On energetic grounds, Q is preferred over the next structure by 68.0 kJ/mol of atoms.

=====

## P
ZnSi2Ge, relaxed, DFT PBE-GGA; calculated volume = 21.901 Å³/atom; calculated density = 3.7 g/cm³
1.0
-2.875 2.875 5.301
2.875 -2.875 5.301
2.875 2.875 -5.301
Zn Si Ge
2 4 2
Direct
0.000 0.000 0.000
0.750 0.250 0.500
0.127 0.625 0.002
0.375 0.377 0.502
0.623 0.125 0.998
0.875 0.873 0.498
0.250 0.750 0.500
0.500 0.500 0.000

=====

## Q
ZnSi2Ge, relaxed, DFT PBE-GGA; calculated volume = 16.682 Å³/atom; calculated density = 4.8 g/cm³
1.0
0.000 3.219 3.219
3.219 0.000 3.219
3.219 3.219 0.000
Zn Si Ge
1 2 1
Direct
0.000 0.000 0.000
0.250 0.250 0.250
0.750 0.750 0.750
0.500 0.500 0.500

=====

On energetic grounds, P is preferred over the next structure by 12.4 kJ/mol of atoms.

=====

## P
Zn2SiGe2, relaxed, DFT PBE-GGA; calculated volume = 17.643 Å³/atom; calculated density = 5.7 g/cm³
1.0
7.674 0.000 0.000
0.000 7.674 0.000
0.000 0.000 2.996
Zn Si Ge
4 2 4
Direct
0.119 0.381 0.000
0.381 0.881 0.000
0.619 0.119 0.000
0.881 0.619 0.000
0.000 0.000 0.500
0.500 0.500 0.500
0.184 0.684 0.500
0.316 0.184 0.500
0.684 0.816 0.500
0.816 0.316 0.500

=====

## Q
Zn2SiGe2, relaxed, DFT PBE-GGA; calculated volume = 18.450 Å³/atom; calculated density = 5.5 g/cm³
1.0
-1.909 1.909 6.327
1.909 -1.909 6.327
1.909 1.909 -6.327
Zn Si Ge
2 1 2
Direct
0.095 0.095 0.000
0.905 0.905 0.000
0.500 0.500 0.000
0.250 0.750 0.500
0.750 0.250 0.500

=====

## R
Zn2SiGe2, relaxed, DFT PBE-GGA; calculated volume = 18.724 Å³/atom; calculated density = 5.4 g/cm³
1.0
-2.058 2.058 5.528
2.058 -2.058 5.528
2.058 2.058 -5.528
Zn Si Ge
2 1 2
Direct
0.250 0.750 0.500
0.750 0.250 0.500
0.000 0.000 0.000
0.390 0.390 0.000
0.610 0.610 0.000

=====

On energetic grounds, P is preferred over the next structure by 7.6 kJ/mol of atoms.

=====

## P
Zr2Si2Ge, relaxed, DFT PBE-GGA; calculated volume = 19.401 Å³/atom; calculated density = 5.3 g/cm³
1.0
7.127 0.000 0.000
0.000 7.127 0.000
0.000 0.000 3.819
Zr Si Ge
4 4 2
Direct
0.177 0.323 0.000
0.323 0.823 0.000
0.677 0.177 0.000
0.823 0.677 0.000
0.119 0.619 0.500
0.381 0.119 0.500
0.619 0.881 0.500
0.881 0.381 0.500
0.000 0.000 0.000
0.500 0.500 0.000

=====

## Q
Zr2Si2Ge, relaxed, DFT PBE-GGA; calculated volume = 18.527 Å³/atom; calculated density = 5.6 g/cm³
1.0
-1.751 1.751 7.551
1.751 -1.751 7.551
1.751 1.751 -7.551
Zr Si Ge
2 2 1
Direct
0.107 0.107 0.000
0.893 0.893 0.000
0.250 0.750 0.500
0.750 0.250 0.500
0.500 0.500 0.000

=====

## R
Zr2Si2Ge, relaxed, DFT PBE-GGA; calculated volume = 17.912 Å³/atom; calculated density = 5.8 g/cm³
1.0
6.856 0.000 0.000
0.000 6.856 0.000
0.000 0.000 3.811
Zr Si Ge
4 4 2
Direct
0.179 0.321 0.000
0.321 0.821 0.000
0.679 0.179 0.000
0.821 0.679 0.000
0.122 0.622 0.500
0.378 0.122 0.500
0.622 0.878 0.500
0.878 0.378 0.500
0.000 0.000 0.500
0.500 0.500 0.500

=====

On energetic grounds, Q is preferred over the next structure by 4.3 kJ/mol of atoms.

=====

## P
Sm2Ge3, relaxed, DFT PBE-GGA; calculated volume = 23.084 Å³/atom; calculated density = 7.5 g/cm³
1.0
-2.084 3.206 4.318
2.084 -3.206 4.318
2.084 3.206 -4.318
Sm Ge
2 3
Direct
0.224 0.224 0.000
0.776 0.776 0.000
0.200 0.500 0.700
0.500 0.000 0.500
0.800 0.500 0.300

=====

## Q
Sm2Ge3, relaxed, DFT PBE-GGA; calculated volume = 23.287 Å³/atom; calculated density = 7.4 g/cm³
1.0
7.375 0.000 0.000
0.000 7.375 0.000
0.000 0.000 4.282
Sm Ge
4 6
Direct
0.180 0.320 0.000
0.320 0.820 0.000
0.680 0.180 0.000
0.820 0.680 0.000
0.000 0.000 0.500
0.122 0.622 0.500
0.378 0.122 0.500
0.500 0.500 0.500
0.622 0.878 0.500
0.878 0.378 0.500

=====

On energetic grounds, P is preferred over the next structure by 3.6 kJ/mol of atoms.

=====

## P
SmSnGe2, relaxed, DFT PBE-GGA; calculated volume = 36.101 Å³/atom; calculated density = 4.8 g/cm³
1.0
2.427 1.401 7.080
-2.427 1.401 7.080
0.000 -2.802 7.080
Sm Sn Ge
1 1 2
Direct
0.000 0.000 0.000
0.500 0.500 0.500
0.380 0.380 0.380
0.620 0.620 0.620

=====

## Q
SmSnGe2, relaxed, DFT PBE-GGA; calculated volume = 22.796 Å³/atom; calculated density = 7.5 g/cm³
1.0
4.654 0.000 0.000
0.000 4.654 0.000
0.000 0.000 4.210
Sm Sn Ge
1 1 2
Direct
0.000 0.000 0.000
0.500 0.500 0.000
0.000 0.500 0.500
0.500 0.000 0.500

=====

On energetic grounds, Q is preferred over the next structure by 63.9 kJ/mol of atoms.

=====

## P
TbSmGe, relaxed, DFT PBE-GGA; calculated volume = 28.627 Å³/atom; calculated density = 7.4 g/cm³
1.0
0.000 3.502 3.502
3.502 0.000 3.502
3.502 3.502 0.000
Tb Sm Ge
1 1 1
Direct
0.000 0.000 0.000
0.500 0.500 0.500
0.750 0.750 0.750

=====

## Q
TbSmGe, relaxed, DFT PBE-GGA; calculated volume = 27.577 Å³/atom; calculated density = 7.7 g/cm³
1.0
4.746 0.000 0.000
-2.373 4.110 0.000
0.000 0.000 4.241
Tb Sm Ge
1 1 1
Direct
0.000 0.000 0.000
0.667 0.333 0.471
0.333 0.667 0.816

=====

On energetic grounds, P is preferred over the next structure by 14.5 kJ/mol of atoms.

=====

## P
Tb2SmGe2, relaxed, DFT PBE-GGA; calculated volume = 25.192 Å³/atom; calculated density = 8.1 g/cm³
1.0
7.747 0.000 0.000
0.000 7.747 0.000
0.000 0.000 4.198
Tb Sm Ge
4 2 4
Direct
0.172 0.328 0.000
0.328 0.828 0.000
0.672 0.172 0.000
0.828 0.672 0.000
0.000 0.000 0.500
0.500 0.500 0.500
0.124 0.624 0.500
0.376 0.124 0.500
0.624 0.876 0.500
0.876 0.376 0.500

=====

## Q
Tb2SmGe2, relaxed, DFT PBE-GGA; calculated volume = 25.683 Å³/atom; calculated density = 7.9 g/cm³
1.0
6.249 -2.228 0.000
6.249 2.228 0.000
-4.845 0.000 9.222
Tb Sm Ge
4 2 4
Direct
0.015 0.015 0.184
0.187 0.187 0.584
0.813 0.813 0.416
0.985 0.985 0.816
0.285 0.285 0.152
0.715 0.715 0.848
0.383 0.383 0.936
0.460 0.460 0.602
0.540 0.540 0.398
0.617 0.617 0.064

=====

On energetic grounds, P is preferred over the next structure by 9.7 kJ/mol of atoms.

=====

## P
TbSm2Ge, relaxed, DFT PBE-GGA; calculated volume = 26.517 Å³/atom; calculated density = 8.3 g/cm³
1.0
4.721 0.000 0.000
0.000 4.721 0.000
0.000 0.000 4.758
Tb Sm Ge
1 2 1
Direct
0.000 0.000 0.000
0.000 0.500 0.500
0.500 0.000 0.500
0.500 0.500 0.000

=====

## Q
TbSm2Ge, relaxed, DFT PBE-GGA; calculated volume = 30.815 Å³/atom; calculated density = 7.2 g/cm³
1.0
1.884 1.088 10.020
-1.884 1.088 10.020
0.000 -2.176 10.020
Tb Sm Ge
1 2 1
Direct
0.000 0.000 0.000
0.233 0.233 0.233
0.767 0.767 0.767
0.500 0.500 0.500

=====

On energetic grounds, P is preferred over the next structure by 13.6 kJ/mol of atoms.

=====

## P
Tb2SmGe, relaxed, DFT PBE-GGA; calculated volume = 26.104 Å³/atom; calculated density = 8.6 g/cm³
1.0
4.714 0.000 0.000
0.000 4.714 0.000
0.000 0.000 4.698
Tb Sm Ge
2 1 1
Direct
0.000 0.500 0.000
0.500 0.000 0.000
0.000 0.000 0.500
0.500 0.500 0.500

=====

## Q
Tb2SmGe, relaxed, DFT PBE-GGA; calculated volume = 30.323 Å³/atom; calculated density = 7.4 g/cm³
1.0
1.895 1.094 9.747
-1.895 1.094 9.747
0.000 -2.189 9.747
Tb Sm Ge
2 1 1
Direct
0.000 0.000 0.000
0.204 0.204 0.204
0.436 0.436 0.436
0.602 0.602 0.602

=====

## R
Tb2SmGe, relaxed, DFT PBE-GGA; calculated volume = 30.794 Å³/atom; calculated density = 7.3 g/cm³
1.0
1.750 1.010 11.608
-1.750 1.010 11.608
0.000 -2.021 11.608
Tb Sm Ge
2 1 1
Direct
0.083 0.083 0.083
0.917 0.917 0.917
0.500 0.500 0.500
0.000 0.000 0.000

=====

On energetic grounds, P is preferred over the next structure by 8.6 kJ/mol of atoms.

=====

## P
SmTcGe, relaxed, DFT PBE-GGA; calculated volume = 19.847 Å³/atom; calculated density = 9.0 g/cm³
1.0
7.312 0.000 0.000
-3.656 6.332 0.000
0.000 0.000 3.858
Sm Tc Ge
3 3 3
Direct
0.000 0.398 0.000
0.398 0.000 0.000
0.602 0.602 0.000
0.000 0.756 0.500
0.244 0.244 0.500
0.756 0.000 0.500
0.000 0.000 0.000
0.333 0.667 0.500
0.667 0.333 0.500

=====

## Q
SmTcGe, relaxed, DFT PBE-GGA; calculated volume = 21.111 Å³/atom; calculated density = 8.4 g/cm³
1.0
4.344 0.000 0.000
-2.172 3.762 0.000
0.000 0.000 3.875
Sm Tc Ge
1 1 1
Direct
0.000 0.000 0.000
0.667 0.333 0.500
0.333 0.667 0.500

=====

## R
SmTcGe, relaxed, DFT PBE-GGA; calculated volume = 21.263 Å³/atom; calculated density = 8.4 g/cm³
1.0
4.315 0.000 0.000
0.000 4.315 0.000
0.000 0.000 6.852
Sm Tc Ge
2 2 2
Direct
0.250 0.250 0.185
0.750 0.750 0.815
0.250 0.750 0.500
0.750 0.250 0.500
0.250 0.250 0.703
0.750 0.750 0.297

=====

On energetic grounds, R is preferred over the next structure by 8.3 kJ/mol of atoms.

=====

## P
Sm2GeTe, relaxed, DFT PBE-GGA; calculated volume = 29.374 Å³/atom; calculated density = 7.1 g/cm³
1.0
2.165 1.250 7.233
-2.165 1.250 7.233
0.000 -2.500 7.233
Sm Ge Te
2 1 1
Direct
0.241 0.241 0.241
0.759 0.759 0.759
0.500 0.500 0.500
0.000 0.000 0.000

=====

## Q
Sm2GeTe, relaxed, DFT PBE-GGA; calculated volume = 29.806 Å³/atom; calculated density = 7.0 g/cm³
1.0
2.151 1.242 7.436
-2.151 1.242 7.436
0.000 -2.484 7.436
Sm Ge Te
2 1 1
Direct
0.000 0.000 0.000
0.188 0.188 0.188
0.595 0.595 0.595
0.426 0.426 0.426

=====

On energetic grounds, P is preferred over the next structure by 6.5 kJ/mol of atoms.